Below is a relaxed SrHoZn crystal, with properties calculated at the GGA-PBE level.

Calculated volume = 33.03 A^3/atom
Size of the total moment = 0.034 μB/f.u.
Total energy = -7.1 eV/cell

Geometry as POSCAR:
```
SrHoZn
1.0
0.0000 3.6727 3.6727
3.6727 0.0000 3.6727
3.6727 3.6727 0.0000
Sr Ho Zn
1 1 1
Cartesian
0.0000 0.0000 0.0000
3.6727 3.6727 3.6727
5.5091 5.5091 5.5091
```


Below is a relaxed InAgSeS crystal, with properties calculated at the GGA-PBE level.

Calculated volume = 27.03 A^3/atom
Total energy = -29.8 eV/cell

Geometry as POSCAR:
```
InAgSeS
1.0
-3.0062 3.0518 5.8924
3.0062 -3.0518 5.8924
3.0062 3.0518 -5.8924
In Ag Se S
2 2 2 2
Cartesian
3.0062 1.5259 -1.4514
0.0000 1.5259 1.4514
3.0062 1.5259 4.5729
0.0000 1.5259 7.2118
4.4866 0.0000 2.9462
1.5259 3.0518 2.9462
1.5031 0.0983 0.0000
1.5031 -0.0983 5.8924
```


Below is a relaxed TcO3 crystal, with properties calculated at the GGA-PBE level.

Calculated volume = 11.77 A^3/atom
Polymorph energy (0 for the lowest one) = 53 meV/atom
Size of the total moment = 0.002 μB/f.u.
Total energy = -59.6 eV/cell

Geometry as POSCAR:
```
TcO3
1.0
2.3642 -4.3338 0.0000
2.3642 4.3338 0.0000
-1.0711 0.0000 4.5967
Tc O
2 6
Cartesian
1.5609 2.4767 3.4475
2.0964 -2.4767 1.1492
1.1821 2.1669 0.0000
0.6547 0.8686 2.3181
1.1903 -0.8686 0.0198
0.6465 -2.1669 2.2984
2.4670 0.8686 4.5769
3.0025 -0.8686 2.2786
```


Below is a relaxed NaNpZn crystal, with properties calculated at the GGA-PBE level.

Calculated volume = 28.04 A^3/atom
Size of the total moment = 5.873 μB/f.u.
Total energy = -11.9 eV/cell

Geometry as POSCAR:
```
NaNpZn
1.0
0.0000 3.4777 3.4777
3.4777 0.0000 3.4777
3.4777 3.4777 0.0000
Na Np Zn
1 1 1
Cartesian
0.0000 0.0000 0.0000
5.2165 5.2165 5.2165
1.7388 1.7388 1.7388
```


Below is a relaxed YTcB2 crystal, with properties calculated at the GGA-PBE level.

Calculated volume = 13.48 A^3/atom
Size of the total moment = 0.022 μB/f.u.
Total energy = -25.2 eV/cell

Geometry as POSCAR:
```
YTcB2
1.0
0.0000 2.9988 2.9988
2.9988 0.0000 2.9988
2.9988 2.9988 0.0000
Y Tc B
1 1 2
Cartesian
0.0000 0.0000 0.0000
4.4983 4.4983 4.4983
1.4994 1.4994 1.4994
2.9988 2.9988 2.9988
```


Below is a relaxed PaS crystal, with properties calculated at the GGA-PBE level.

Calculated volume = 29.46 A^3/atom
Polymorph energy (0 for the lowest one) = 926 meV/atom
Size of the total moment = 2.028 μB/f.u.
Total energy = -15.0 eV/cell

Geometry as POSCAR:
```
PaS
1.0
0.0000 3.0884 3.0884
3.0884 0.0000 3.0884
3.0884 3.0884 0.0000
Pa S
1 1
Cartesian
0.0000 0.0000 0.0000
4.6327 4.6327 4.6327
```


Below is a relaxed LaIr2Pb2 crystal, with properties calculated at the GGA-PBE level.

Calculated volume = 24.19 A^3/atom
Size of the total moment = 0.003 μB/f.u.
Total energy = -30.9 eV/cell

Geometry as POSCAR:
```
LaIr2Pb2
1.0
-2.2342 2.2342 6.0568
2.2342 -2.2342 6.0568
2.2342 2.2342 -6.0568
La Ir Pb
1 2 2
Cartesian
0.0000 0.0000 0.0000
0.0000 0.0000 4.8534
0.0000 0.0000 7.2602
2.2342 0.0000 3.0284
0.0000 2.2342 3.0284
```


Below is a relaxed BeZnInNi crystal, with properties calculated at the GGA-PBE level.

Calculated volume = 13.68 A^3/atom
Polymorph energy (0 for the lowest one) = 61 meV/atom
Size of the total moment = 0.000 μB/f.u.
Total energy = -12.6 eV/cell

Geometry as POSCAR:
```
BeZnInNi
1.0
0.0000 3.0132 3.0132
3.0132 0.0000 3.0132
3.0132 3.0132 0.0000
Be Zn In Ni
1 1 1 1
Cartesian
0.0000 0.0000 0.0000
3.0132 3.0132 3.0132
4.5198 4.5198 4.5198
1.5066 1.5066 1.5066
```


Below is a relaxed CuSnMo crystal, with properties calculated at the GGA-PBE level.

Calculated volume = 18.51 A^3/atom
Polymorph energy (0 for the lowest one) = 0 meV/atom
Size of the total moment = 2.197 μB/f.u.
Total energy = -16.9 eV/cell

Geometry as POSCAR:
```
CuSnMo
1.0
0.0000 3.0278 3.0278
3.0278 0.0000 3.0278
3.0278 3.0278 0.0000
Cu Sn Mo
1 1 1
Cartesian
0.0000 0.0000 0.0000
1.5139 1.5139 1.5139
4.5418 4.5418 4.5418
```


Below is a relaxed BaAg2Bi4 crystal, with properties calculated at the GGA-PBE level.

Calculated volume = 32.03 A^3/atom
Total energy = -49.2 eV/cell

Geometry as POSCAR:
```
BaAg2Bi4
1.0
0.0000 4.8145 12.6286
3.6871 0.0000 12.6286
3.6871 4.8145 0.0000
Ba Ag Bi
2 4 8
Cartesian
0.9218 1.2036 3.1572
6.4525 8.4254 22.1001
2.7654 3.6109 0.3525
4.6089 6.0182 6.6668
2.7654 3.6109 18.5904
4.6089 6.0182 24.9048
3.2836 2.1147 7.9628
2.2471 2.1147 10.9802
5.1272 4.5220 17.2945
4.0907 4.5220 14.2771
3.2836 5.1071 10.9802
2.2471 5.1071 7.9628
5.1272 7.5144 14.2771
4.0907 7.5144 17.2945
```


Below is a relaxed Lu2B2Pb crystal, with properties calculated at the GGA-PBE level.

Calculated volume = 17.83 A^3/atom
Size of the total moment = 0.009 μB/f.u.
Total energy = -28.5 eV/cell

Geometry as POSCAR:
```
Lu2B2Pb
1.0
1.6105 -7.7196 0.0000
1.6105 7.7196 0.0000
0.0000 0.0000 3.5854
Lu B Pb
2 2 1
Cartesian
1.6105 5.3628 0.0000
1.6105 -5.3628 0.0000
1.6105 3.5825 1.7927
1.6105 -3.5825 1.7927
1.6105 0.0000 1.7927
```


Below is a relaxed DyTmFeSi2 crystal, with properties calculated at the GGA-PBE level.

Calculated volume = 18.44 A^3/atom
Size of the total moment = 0.117 μB/f.u.
Total energy = -63.6 eV/cell

Geometry as POSCAR:
```
DyTmFeSi2
1.0
5.2026 -2.0586 0.0000
5.2026 2.0586 0.0000
-4.8544 0.0000 8.6107
Dy Tm Fe Si
2 2 2 4
Cartesian
-0.8165 0.0000 1.4971
6.3673 0.0000 7.1136
-1.0058 0.0000 5.2377
6.5565 0.0000 3.3730
2.2207 0.0000 1.0745
3.3300 0.0000 7.5362
-0.9459 0.0000 8.0559
2.1576 0.0000 5.3848
3.3932 0.0000 3.2259
6.4967 0.0000 0.5548
```